Record 1
Here is crystalline Sm6Y2HoEr at its relaxed geometry from the Alexandria database. Energies are from GGA-PBE.

Output
V in Å³ per cell: 666.2
Formation energy from the elements in eV per formula unit: 1.216

POSCAR file:
```
Sm6Y2HoEr
1.0
-7.1832 1.3455 6.1640
5.2760 -3.7530 6.1041
1.0390 8.7002 -1.5518
Sm Y Ho Er
12 4 2 2
Direct
0.0556 0.1192 0.7602
0.4444 0.2398 0.8808
0.9444 0.8808 0.2398
0.5556 0.7602 0.1192
0.3128 0.9870 0.4340
0.1872 0.5660 0.0130
0.6872 0.0130 0.5660
0.8128 0.4340 0.9870
0.1182 0.7086 0.4886
0.3818 0.5114 0.2914
0.8818 0.2914 0.5114
0.6182 0.4886 0.7086
0.4542 0.7996 0.7011
0.0458 0.2989 0.2004
0.5458 0.2004 0.2989
0.9542 0.7011 0.7996
0.2500 0.4101 0.5899
0.7500 0.5899 0.4101
0.2500 0.9720 0.0280
0.7500 0.0280 0.9720
```

---

Record 2
Here is crystalline SmY4Ho2Er2 at its relaxed geometry from the Alexandria database. Energies are from GGA-PBE.

Output
V in Å³ per cell: 286.2
Formation energy from the elements in eV per formula unit: 0.008

POSCAR file:
```
SmY4Ho2Er2
1.0
-2.1198 2.2985 1.7515
-6.2849 -4.2686 -5.6715
1.8350 -4.5332 8.1700
Sm Y Ho Er
1 4 2 2
Direct
0.0000 0.0000 0.0000
0.8141 0.6282 0.6664
0.1859 0.3718 0.3336
0.5186 0.0373 0.3353
0.4814 0.9627 0.6647
0.8514 0.7029 0.3326
0.1486 0.2971 0.6674
0.3323 0.6646 0.0009
0.6677 0.3354 0.9991
```

---

Record 3
Here is crystalline Sm6Y3Ho2Er at its relaxed geometry from the Alexandria database. Energies are from GGA-PBE.

Output
V in Å³ per cell: 390.1
Formation energy from the elements in eV per formula unit: 0.169

POSCAR file:
```
Sm6Y3Ho2Er
1.0
6.2211 0.0002 0.0089
-3.1089 5.3887 0.0089
-1.0500 -1.8180 11.6310
Sm Y Ho Er
6 3 2 1
Direct
0.9168 0.5836 0.7517
0.7499 0.7499 0.2482
0.0832 0.4164 0.2483
0.5836 0.9168 0.7517
0.2501 0.2501 0.7518
0.4164 0.0832 0.2483
0.1666 0.8334 0.5000
0.8334 0.1666 0.5000
0.5000 0.5000 0.5000
0.3333 0.6667 0.0000
0.6667 0.3333 0.0000
0.0000 0.0000 0.0000
```

---

Record 4
Here is crystalline SmY2Ho6Er3 at its relaxed geometry from the Alexandria database. Energies are from GGA-PBE.

Output
V in Å³ per cell: 374.7
Formation energy from the elements in eV per formula unit: 0.254

POSCAR file:
```
SmY2Ho6Er3
1.0
-3.1164 2.5558 4.6055
-2.9890 -3.0153 -4.4078
2.9563 -9.6283 5.9930
Sm Y Ho Er
1 2 6 3
Direct
0.0000 0.0000 0.0000
0.3333 0.6667 0.0000
0.6667 0.3333 0.0000
0.9150 0.5820 0.7474
0.7518 0.7518 0.2524
0.0850 0.4180 0.2526
0.5820 0.9150 0.7474
0.2482 0.2482 0.7476
0.4180 0.0850 0.2526
0.1669 0.8331 0.5000
0.8331 0.1669 0.5000
0.5000 0.5000 0.5000
```

---

Record 5
Here is crystalline Sm2Y6HoEr3 at its relaxed geometry from the Alexandria database. Energies are from GGA-PBE.

Output
V in Å³ per cell: 382.7
Formation energy from the elements in eV per formula unit: 0.263

POSCAR file:
```
Sm2Y6HoEr3
1.0
6.1653 0.0022 0.0089
-3.0792 5.3413 0.0089
-1.0406 -1.8018 11.6120
Sm Y Ho Er
2 6 1 3
Direct
0.3333 0.6667 0.0000
0.6667 0.3333 0.0000
0.9157 0.5828 0.7478
0.7516 0.7516 0.2523
0.0843 0.4172 0.2522
0.5828 0.9157 0.7478
0.2484 0.2484 0.7477
0.4172 0.0843 0.2522
0.0000 0.0000 0.0000
0.1665 0.8335 0.5000
0.8335 0.1665 0.5000
0.5000 0.5000 0.5000
```

---

Record 6
Here is crystalline SmYHoEr at its relaxed geometry from the Alexandria database. Energies are from GGA-PBE.

Output
V in Å³ per cell: 129.5
ΔE to the lowest computed polymorph in meV/atom: 110.1
Formation energy from the elements in eV per formula unit: 0.531

POSCAR file:
```
SmYHoEr
1.0
5.6783 0.0000 0.0000
2.8392 4.9176 0.0000
2.8392 1.6392 4.6363
Y Ho Sm Er
1 1 1 1
Direct
0.7500 0.7500 0.7500
0.5000 0.5000 0.5000
0.2500 0.2500 0.2500
0.0000 0.0000 0.0000
```

---

| no. | uncorrected energy (eV for the cell shown) | magnetization (μB/cell) |
| --- | --- | --- |
| 1 | -98.34 | 0.0 |
| 2 | -48.85 | 0.0 |
| 3 | -61.26 | 0.0 |
| 4 | -58.55 | 0.0 |
| 5 | -66.23 | 0.0 |
| 6 | -19.79 | 0.0 |